Entry from Alexandria: a relaxed CrAg2PbF8 crystal (GGA+U).

Results
The raw total energy comes out at -55.2 eV/f.u. The theoretical density is 5498 kg/m³.

```
12
Lattice="-0.4436 4.4721 -1.8807 -3.6089 -2.2872 -3.3844 -5.2580 1.4296 4.6394" Properties=species:S:1:pos:R:3 pbc="T T T"
Cr 0.0000 0.0000 0.0000
Ag -6.0264 2.1797 0.8973
Ag -3.2841 1.4347 -1.5230
Pb -2.6290 0.7148 2.3197
F -4.0164 -0.9261 -2.0424
F -8.2980 2.6892 0.8065
F -2.1540 3.6867 -1.3537
F -5.2941 4.5405 1.4167
F -1.0124 0.9252 -1.4323
F -7.1565 -0.0723 0.7280
F -5.5250 1.6134 -1.2384
F -3.7855 2.0010 0.6126
```